(1)
Entry from the Alexandria database: crystalline Ac2PuZn3Pt4 at its relaxed geometry (PBE).

abc: 4.4292 4.4292 11.2564
angles: 90.00 90.00 90.00
With the nearest neighbours (Å) after each atom.
Element x y z (fractional)
Pt: 0.5000 0.5000 0.0000  4 Zn 2.57
Pt: 0.5000 0.0000 0.6557  3 Zn 2.56-2.82, 2 Pu 2.82
Pu: 0.5000 0.5000 0.5000  4 Pt 2.82, 4 Zn 3.13
Ac: 0.0000 0.5000 0.7744  4 Zn 3.36, 8 Pt 3.37-3.41
Pt: 0.0000 0.0000 0.0000  4 Zn 2.57
Zn: 0.0000 0.5000 0.1164  5 Pt 2.56-2.57
Ac: 0.5000 0.0000 0.2256  4 Zn 3.36, 8 Pt 3.37-3.41
Pt: 0.0000 0.5000 0.3443  3 Zn 2.56-2.82, 2 Pu 2.82
Zn: 0.5000 0.0000 0.8836  5 Pt 2.56-2.57
Zn: 0.0000 0.0000 0.5000  4 Pt 2.82, 4 Pu 3.13

Computed properties:
VASP energy (eV per atom): -5.82
ΔH_f (0 K) (eV/atom): -0.767

=====

(2)
Entry from the Alexandria database: crystalline Ac2PuZn4Pt3 at its relaxed geometry (PBE).

abc: 4.2211 4.2211 12.4922
angles: 90.00 90.00 90.00
With the nearest neighbours (Å) after each atom.
Element x y z (fractional)
Pt: 0.0000 0.5000 0.1293  5 Zn 2.61-2.66
Zn: 0.0000 0.0000 0.0000  4 Pt 2.66
Pt: 0.0000 0.0000 0.5000  4 Zn 2.92, 4 Pu 2.98
Ac: 0.0000 0.5000 0.7749  4 Pt 3.22, 8 Zn 3.30-3.52
Pu: 0.5000 0.5000 0.5000  4 Zn 2.92, 4 Pt 2.98
Ac: 0.5000 0.0000 0.2251  4 Pt 3.22, 8 Zn 3.30-3.52
Zn: 0.5000 0.5000 0.0000  4 Pt 2.66
Pt: 0.5000 0.0000 0.8707  5 Zn 2.61-2.66
Zn: 0.5000 0.0000 0.6621  1 Pt 2.61
Zn: 0.0000 0.5000 0.3379  1 Pt 2.61

Computed properties:
VASP energy (eV per atom): -5.22
ΔH_f (0 K) (eV/atom): -0.639

=====

(3)
Entry from the Alexandria database: crystalline RbAc3Pt at its relaxed geometry (PBE).

abc: 6.1311 6.1311 6.1311
angles: 90.00 90.00 90.00
With the nearest neighbours (Å) after each atom.
Element x y z (fractional)
Ac: 0.0000 0.5000 0.0000  2 Pt 3.07
Ac: 0.0000 0.0000 0.5000  2 Pt 3.07
Pt: 0.0000 0.0000 0.0000  6 Ac 3.07
Ac: 0.5000 0.0000 0.0000  2 Pt 3.07
Rb: 0.5000 0.5000 0.5000  12 Ac 4.34

Computed properties:
VASP energy (eV per atom): -4.14
ΔH_f (0 K) (eV/atom): -0.276

=====

(4)
Entry from the Alexandria database: crystalline RbAcPt2 at its relaxed geometry (PBE).

abc: 3.8184 3.8184 8.1916
angles: 90.00 90.00 90.00
With the nearest neighbours (Å) after each atom.
Element x y z (fractional)
Pt: 0.0000 0.0000 0.1932  4 Ac 3.13, 1 Pt 3.17
Ac: 0.5000 0.5000 0.0000  8 Pt 3.13
Rb: 0.5000 0.5000 0.5000  8 Pt 3.69, 4 Rb 3.82, 2 Ac 4.10
Pt: 0.0000 0.0000 0.8068  4 Ac 3.13, 1 Pt 3.17

Computed properties:
VASP energy (eV per atom): -4.87
ΔH_f (0 K) (eV/atom): -0.578

=====

(5)
Entry from the Alexandria database: crystalline RbAcPt2 at its relaxed geometry (PBE).

abc: 4.3855 4.3855 8.4940
angles: 75.04 75.04 60.00
With the nearest neighbours (Å) after each atom.
Element x y z (fractional)
Pt: 0.7347 0.7347 0.7959  3 Ac 3.02
Pt: 0.2653 0.2653 0.2041  3 Ac 3.02
Rb: 0.5000 0.5000 0.5000  6 Pt 3.49
Ac: 0.0000 0.0000 0.0000  6 Pt 3.02

Computed properties:
VASP energy (eV per atom): -4.79
ΔH_f (0 K) (eV/atom): -0.504

=====

(6)
Entry from the Alexandria database: crystalline Ac3PtRh at its relaxed geometry (PBE).

abc: 4.4621 7.9493 10.1837
angles: 83.17 77.35 73.70
With the nearest neighbours (Å) after each atom.
Element x y z (fractional)
Ac: 0.0278 0.1478 0.7966  2 Rh 3.00, 2 Pt 3.11
Ac: 0.7250 0.6662 0.8839  1 Rh 2.90, 2 Pt 3.06
Ac: 0.6501 0.2443 0.4554  3 Rh 3.01-3.04, 1 Pt 3.34
Rh: 0.6883 0.9490 0.6745  6 Ac 2.90-3.04
Ac: 0.2750 0.3338 0.1161  1 Rh 2.90, 2 Pt 3.06
Pt: 0.3911 0.4315 0.7864  6 Ac 3.06-3.34
Pt: 0.6089 0.5685 0.2136  6 Ac 3.06-3.34
Ac: 0.9722 0.8522 0.2034  2 Rh 3.00, 2 Pt 3.11
Ac: 0.3499 0.7557 0.5446  3 Rh 3.01-3.04, 1 Pt 3.34
Rh: 0.3117 0.0510 0.3255  6 Ac 2.90-3.04

Computed properties:
VASP energy (eV per atom): -5.92
ΔH_f (0 K) (eV/atom): -0.775
Excess energy over the best structure of this formula in the dataset (meV/atom): 0

=====

(7)
Entry from the Alexandria database: crystalline Ac7Pt5Rh at its relaxed geometry (PBE).

abc: 4.3181 7.5938 25.8754
angles: 89.99 90.00 106.54
With the nearest neighbours (Å) after each atom.
Element x y z (fractional)
Pt: 0.5442 0.0884 0.3522  6 Ac 3.07-3.15
Ac: 0.6355 0.2708 0.4627  6 Pt 3.08-3.15
Ac: 0.0899 0.1797 0.6087  5 Pt 3.07-3.10
Pt: 0.4566 0.9130 0.8522  6 Ac 3.07-3.15
Ac: 0.9104 0.8209 0.3912  5 Pt 3.07-3.10
Rh: 0.7919 0.5837 0.2501  6 Ac 3.02-3.26
Pt: 0.2749 0.5497 0.4274  6 Ac 3.00-3.13
Ac: 0.3651 0.7303 0.9627  6 Pt 3.08-3.15
Ac: 0.5639 0.1278 0.7500  2 Rh 3.02, 2 Pt 3.07
Ac: 0.4368 0.8735 0.2500  2 Rh 3.02, 2 Pt 3.07
Pt: 0.0002 0.0003 0.5000  6 Ac 3.08-3.10
Ac: 0.3649 0.7299 0.5373  6 Pt 3.08-3.15
Rh: 0.2088 0.4177 0.7500  6 Ac 3.02-3.26
Pt: 0.0004 0.0007 0.0000  6 Ac 3.08-3.10
Pt: 0.7255 0.4511 0.5727  6 Ac 3.00-3.13
Ac: 0.1855 0.3709 0.3230  3 Pt 3.00-3.08, 2 Rh 3.26
Pt: 0.7258 0.4516 0.9273  6 Ac 3.00-3.13
Ac: 0.6356 0.2711 0.0373  6 Pt 3.08-3.15
Pt: 0.2749 0.5498 0.0727  6 Ac 3.00-3.14
Ac: 0.8153 0.6306 0.8229  3 Pt 3.00-3.08, 2 Rh 3.26
Ac: 0.1854 0.3708 0.1771  3 Pt 3.00-3.08, 2 Rh 3.26
Ac: 0.0902 0.1804 0.8912  5 Pt 3.07-3.10
Ac: 0.8150 0.6301 0.6770  3 Pt 3.00-3.08, 2 Rh 3.26
Ac: 0.9105 0.8211 0.1087  5 Pt 3.07-3.10
Pt: 0.5442 0.0884 0.1478  6 Ac 3.07-3.15
Pt: 0.4563 0.9125 0.6478  6 Ac 3.07-3.15

Computed properties:
VASP energy (eV per atom): -6.12
ΔH_f (0 K) (eV/atom): -1.023

=====

(8)
Entry from the Alexandria database: crystalline Ac8PtRh4 at its relaxed geometry (PBE).

abc: 4.3814 11.0333 10.7598
angles: 81.86 78.25 78.55
With the nearest neighbours (Å) after each atom.
Element x y z (fractional)
Pt: 0.6708 0.8063 0.8522  5 Ac 3.00-3.07
Ac: 0.5376 0.2589 0.6660  3 Rh 2.89-2.95
Ac: 0.1300 0.4058 0.3342  3 Rh 2.95-2.97
Rh: 0.1585 0.1728 0.5102  6 Ac 2.95-3.07
Ac: 0.8576 0.5906 0.6941  1 Pt 3.00, 3 Rh 3.04-3.05
Ac: 0.8331 0.3295 0.0042  3 Rh 2.95-3.00
Ac: 0.4593 0.7287 0.3527  3 Rh 2.91-2.96
Ac: 0.1643 0.6617 0.0097  3 Rh 3.07-3.10, 2 Pt 3.07
Rh: 0.8408 0.8192 0.4992  6 Ac 2.91-3.10
Ac: 0.7870 0.0681 0.3579  3 Rh 2.94-3.01
Ac: 0.2053 0.9187 0.6707  3 Rh 3.07-3.10, 2 Pt 3.07
Rh: 0.6449 0.5284 0.1819  6 Ac 2.95-3.10
Rh: 0.3559 0.4437 0.8446  6 Ac 2.89-3.07

Computed properties:
VASP energy (eV per atom): -5.85
ΔH_f (0 K) (eV/atom): -0.592

=====

(9)
Entry from the Alexandria database: crystalline AcPtRh at its relaxed geometry (PBE).

abc: 5.5569 5.6010 5.6010
angles: 60.56 60.26 60.26
With the nearest neighbours (Å) after each atom.
Element x y z (fractional)
Rh: 0.5000 0.0000 0.5000  4 Pt 2.80, 2 Rh 2.82
Ac: 0.8752 0.3748 0.3748  6 Rh 3.27-3.29, 6 Pt 3.28-3.30, 4 Ac 3.41-3.45
Pt: 0.0000 0.0000 0.0000  2 Pt 2.78, 4 Rh 2.80
Rh: 0.5000 0.5000 0.0000  4 Pt 2.80, 2 Rh 2.82
Pt: 0.5000 0.0000 0.0000  2 Pt 2.78, 4 Rh 2.80
Ac: 0.1248 0.6252 0.6252  6 Rh 3.27-3.29, 6 Pt 3.28-3.30, 4 Ac 3.41-3.45

Computed properties:
VASP energy (eV per atom): -6.65
ΔH_f (0 K) (eV/atom): -0.819
Excess energy over the best structure of this formula in the dataset (meV/atom): 21

=====

(10)
Entry from the Alexandria database: crystalline Ac8PtRh2 at its relaxed geometry (PBE).

abc: 7.7038 8.0526 7.9608
angles: 88.52 118.94 90.00
With the nearest neighbours (Å) after each atom.
Element x y z (fractional)
Ac: 0.2072 0.1192 0.4144  1 Rh 2.93, 1 Pt 3.07
Ac: 0.7928 0.8808 0.5856  1 Rh 2.93, 1 Pt 3.07
Ac: 0.2106 0.2745 0.9230  1 Pt 2.96, 2 Rh 3.09-3.15
Ac: 0.7124 0.2745 0.9230  1 Pt 2.96, 2 Rh 3.09-3.15
Ac: 0.2876 0.7255 0.0770  1 Pt 2.96, 2 Rh 3.09-3.15
Rh: 0.8920 0.5542 0.7840  6 Ac 2.85-3.15, 1 Rh 3.11
Ac: 0.7108 0.3982 0.4216  1 Rh 2.85
Ac: 0.7894 0.7255 0.0770  1 Pt 2.96, 2 Rh 3.09-3.15
Ac: 0.2892 0.6018 0.5784  1 Rh 2.85
Rh: 0.1080 0.4458 0.2160  6 Ac 2.85-3.15, 1 Rh 3.11
Pt: 0.0000 0.0000 0.0000  6 Ac 2.96-3.07

Computed properties:
VASP energy (eV per atom): -5.30
ΔH_f (0 K) (eV/atom): -0.423

=====

(11)
Entry from the Alexandria database: crystalline Ac8Pt4Rh at its relaxed geometry (PBE).

abc: 8.6502 8.6502 8.6502
angles: 61.35 61.35 61.35
With the nearest neighbours (Å) after each atom.
Element x y z (fractional)
Ac: 0.2525 0.2525 0.7381  3 Pt 3.03-3.12, 1 Rh 3.06
Pt: 0.0000 0.0000 0.0000  6 Ac 3.12
Pt: 0.0000 0.5000 0.5000  6 Ac 3.02-3.03
Pt: 0.5000 0.5000 0.0000  6 Ac 3.02-3.03
Ac: 0.7439 0.7439 0.7439  3 Pt 3.02
Ac: 0.2619 0.7475 0.7475  3 Pt 3.03-3.12, 1 Rh 3.06
Ac: 0.7475 0.2619 0.7475  3 Pt 3.03-3.12, 1 Rh 3.06
Ac: 0.7381 0.2525 0.2525  3 Pt 3.03-3.12, 1 Rh 3.06
Pt: 0.5000 0.0000 0.5000  6 Ac 3.02-3.03
Ac: 0.7475 0.7475 0.2619  3 Pt 3.03-3.12, 1 Rh 3.06
Ac: 0.2561 0.2561 0.2561  3 Pt 3.02
Rh: 0.5000 0.5000 0.5000  6 Ac 3.06
Ac: 0.2525 0.7381 0.2525  3 Pt 3.03-3.12, 1 Rh 3.06

Computed properties:
VASP energy (eV per atom): -5.82
ΔH_f (0 K) (eV/atom): -0.871